A plane-wave DFT calculation with PBE-GGA was carried out for crystalline RuRhCl2 at its relaxed geometry.

Summary:
Crystal system   orthorhombic
Total energy   -0.1669 hartree per atom
Distance to the lowest polymorph of the same formula   0.5402 eV per atom
Size of the total moment   0.08 Bohr magnetons per cell
Uncorrected formation energy   0.54 eV/atom

Lattice parameters (Å, degrees): 2.8966 5.4342 8.1725 90.00 90.00 90.00
Space group Cmmm (No. 65)
Inequivalent atoms, fractional coordinates:
Ru 0.0000 0.0000 0.0000 (multiplicity 2)
Rh 0.0000 0.0000 0.5000 (multiplicity 2)
Cl 0.0000 0.5000 0.2400 (multiplicity 4)

---

A plane-wave DFT calculation with PBE-GGA was carried out for crystalline RuRhCl2 at its relaxed geometry.

Summary:
Crystal system   tetragonal
Total energy   -0.1601 hartree per atom
Distance to the lowest polymorph of the same formula   0.7240 eV per atom
Size of the total moment   6.07 Bohr magnetons per cell
Uncorrected formation energy   0.72 eV/atom

Lattice parameters (Å, degrees): 3.5542 3.5542 10.7053 90.00 90.00 90.00
Space group I-4m2 (No. 119)
Inequivalent atoms, fractional coordinates:
Ru 0.0000 0.0000 0.0000 (multiplicity 2)
Rh 0.0000 0.5000 0.2500 (multiplicity 2)
Cl 0.0000 0.0000 0.5000 (multiplicity 2)
Cl 0.0000 0.5000 0.7500 (multiplicity 2)

---

A plane-wave DFT calculation with PBE-GGA was carried out for crystalline RuRhCl2 at its relaxed geometry.

Summary:
Crystal system   monoclinic
Total energy   -0.1804 hartree per atom
Distance to the lowest polymorph of the same formula   0.1726 eV per atom
Size of the total moment   0.30 Bohr magnetons per cell
Uncorrected formation energy   0.17 eV/atom

Lattice parameters (Å, degrees): 12.1647 3.0411 4.6927 90.00 97.70 90.00
Space group C2/m (No. 12)
Inequivalent atoms, fractional coordinates:
Ru 0.0000 0.0000 0.0000 (multiplicity 2)
Rh 0.0000 0.5000 0.5000 (multiplicity 2)
Cl 0.1379 0.5000 0.2069 (multiplicity 4)

---

A plane-wave DFT calculation with PBE-GGA was carried out for crystalline TlRu2RhCl at its relaxed geometry.

Summary:
Crystal system   tetragonal
Total energy   -0.1741 hartree per atom
Size of the total moment   2.74 Bohr magnetons per cell
Uncorrected formation energy   1.29 eV/atom

Lattice parameters (Å, degrees): 4.2794 4.2794 5.4999 90.00 90.00 90.00
Space group P4/mmm (No. 123)
Inequivalent atoms, fractional coordinates:
Tl 0.0000 0.0000 0.0000 (multiplicity 1)
Ru 0.0000 0.5000 0.5000 (multiplicity 2)
Rh 0.5000 0.5000 0.0000 (multiplicity 1)
Cl 0.0000 0.0000 0.5000 (multiplicity 1)

---

A plane-wave DFT calculation with PBE-GGA was carried out for crystalline TlRuRhCl2 at its relaxed geometry.

Summary:
Crystal system   tetragonal
Total energy   -0.1512 hartree per atom
Size of the total moment   1.85 Bohr magnetons per cell
Uncorrected formation energy   0.42 eV/atom

Lattice parameters (Å, degrees): 4.8695 4.8695 4.9051 90.00 90.00 90.00
Space group P4/mmm (No. 123)
Inequivalent atoms, fractional coordinates:
Tl 0.0000 0.0000 0.0000 (multiplicity 1)
Ru 0.5000 0.5000 0.0000 (multiplicity 1)
Rh 0.5000 0.5000 0.5000 (multiplicity 1)
Cl 0.0000 0.5000 0.5000 (multiplicity 2)

---

A plane-wave DFT calculation with PBE-GGA was carried out for crystalline ZnRu2RhCl at its relaxed geometry.

Summary:
Crystal system   tetragonal
Total energy   -0.1656 hartree per atom
Size of the total moment   3.15 Bohr magnetons per cell
Uncorrected formation energy   1.30 eV/atom

Lattice parameters (Å, degrees): 4.7533 4.7533 4.8126 90.00 90.00 90.00
Space group P4/mmm (No. 123)
Inequivalent atoms, fractional coordinates:
Zn 0.0000 0.0000 0.0000 (multiplicity 1)
Ru 0.0000 0.5000 0.5000 (multiplicity 2)
Rh 0.0000 0.0000 0.5000 (multiplicity 1)
Cl 0.5000 0.5000 0.0000 (multiplicity 1)

---

A plane-wave DFT calculation with PBE-GGA was carried out for crystalline RhSCl at its relaxed geometry.

Summary:
Crystal system   orthorhombic
Total energy   -0.1783 hartree per atom
Size of the total moment   0.00 Bohr magnetons per cell
Uncorrected formation energy   -0.41 eV/atom

Lattice parameters (Å, degrees): 3.4423 5.6466 5.6751 90.00 90.00 90.00
Space group Pmn2_1 (No. 31)
Inequivalent atoms, fractional coordinates:
Rh 0.0000 0.2057 0.0000 (multiplicity 2)
S 0.0000 0.0317 0.6267 (multiplicity 2)
Cl 0.0000 0.5126 0.3298 (multiplicity 2)

---

A plane-wave DFT calculation with PBE-GGA was carried out for crystalline Rh3SCl at its relaxed geometry.

Summary:
Crystal system   cubic
Total energy   -0.1900 hartree per atom
Distance to the lowest polymorph of the same formula   0.0000 eV per atom
Size of the total moment   0.35 Bohr magnetons per cell
Uncorrected formation energy   0.43 eV/atom

Lattice parameters (Å, degrees): 4.4443 4.4443 4.4443 90.00 90.00 90.00
Space group Pm-3m (No. 221)
Inequivalent atoms, fractional coordinates:
Rh 0.0000 0.0000 0.5000 (multiplicity 3)
S 0.0000 0.0000 0.0000 (multiplicity 1)
Cl 0.5000 0.5000 0.5000 (multiplicity 1)

---

A plane-wave DFT calculation with PBE-GGA was carried out for crystalline RhSCl at its relaxed geometry.

Summary:
Crystal system   trigonal
Total energy   -0.1838 hartree per atom
Size of the total moment   0.00 Bohr magnetons per cell
Uncorrected formation energy   -0.56 eV/atom

Lattice parameters (Å, degrees): 3.4192 3.4192 6.3087 90.00 90.00 120.00
Space group P3m1 (No. 156)
Inequivalent atoms, fractional coordinates:
Rh 0.0000 0.0000 0.0000 (multiplicity 1)
S 0.6667 0.3333 0.1883 (multiplicity 1)
Cl 0.3333 0.6667 0.7481 (multiplicity 1)

---

A plane-wave DFT calculation with PBE-GGA was carried out for crystalline RhS2Cl2 at its relaxed geometry.

Summary:
Crystal system   monoclinic
Total energy   -0.1487 hartree per atom
Size of the total moment   0.00 Bohr magnetons per cell
Uncorrected formation energy   -0.19 eV/atom

Lattice parameters (Å, degrees): 8.3408 10.0560 7.4076 90.00 122.84 90.00
Space group C2/m (No. 12)
Inequivalent atoms, fractional coordinates:
Rh 0.0000 0.1550 0.0000 (multiplicity 4)
S 0.0743 0.0000 0.8163 (multiplicity 4)
S 0.2034 0.0000 0.2884 (multiplicity 4)
Cl 0.0033 0.3179 0.2220 (multiplicity 8)

---

A plane-wave DFT calculation with PBE-GGA was carried out for crystalline RhS5Cl at its relaxed geometry.

Summary:
Crystal system   monoclinic
Total energy   -0.1491 hartree per atom
Size of the total moment   0.00 Bohr magnetons per cell
Uncorrected formation energy   0.20 eV/atom

Lattice parameters (Å, degrees): 12.3989 4.6750 7.1068 90.00 117.26 90.00
Space group Cm (No. 8)
Inequivalent atoms, fractional coordinates:
Rh 0.0000 0.0000 0.0000 (multiplicity 2)
S 0.0595 0.5000 0.9784 (multiplicity 2)
S 0.2017 0.0000 0.0874 (multiplicity 2)
S 0.2962 0.2927 0.8685 (multiplicity 4)
S 0.4806 0.0000 0.6692 (multiplicity 2)
Cl 0.0468 0.0000 0.3550 (multiplicity 2)

---

A plane-wave DFT calculation with PBE-GGA was carried out for crystalline Rh2SCl at its relaxed geometry.

Summary:
Crystal system   tetragonal
Total energy   -0.1909 hartree per atom
Distance to the lowest polymorph of the same formula   0.0000 eV per atom
Size of the total moment   0.00 Bohr magnetons per cell
Uncorrected formation energy   -0.03 eV/atom

Lattice parameters (Å, degrees): 5.8789 5.8789 8.9650 90.00 90.00 90.00
Space group I-42d (No. 122)
Inequivalent atoms, fractional coordinates:
Rh 0.2005 0.2500 0.1250 (multiplicity 8)
S 0.0000 0.0000 0.0000 (multiplicity 4)
Cl 0.0000 0.0000 0.5000 (multiplicity 4)

---

A plane-wave DFT calculation with PBE-GGA was carried out for crystalline Rh2SCl at its relaxed geometry.

Summary:
Crystal system   cubic
Total energy   -0.1773 hartree per atom
Distance to the lowest polymorph of the same formula   0.3715 eV per atom
Size of the total moment   2.47 Bohr magnetons per cell
Uncorrected formation energy   0.35 eV/atom

Lattice parameters (Å, degrees): 6.1655 6.1655 6.1655 90.00 90.00 90.00
Space group Fm-3m (No. 225)
Inequivalent atoms, fractional coordinates:
Rh 0.2500 0.2500 0.2500 (multiplicity 8)
S 0.0000 0.0000 0.0000 (multiplicity 4)
Cl 0.0000 0.0000 0.5000 (multiplicity 4)

---

A plane-wave DFT calculation with PBE-GGA was carried out for crystalline RhS3Cl at its relaxed geometry.

Summary:
Crystal system   cubic
Total energy   -0.1358 hartree per atom
Distance to the lowest polymorph of the same formula   0.0000 eV per atom
Size of the total moment   0.00 Bohr magnetons per cell
Uncorrected formation energy   0.62 eV/atom

Lattice parameters (Å, degrees): 4.6452 4.6452 4.6452 90.00 90.00 90.00
Space group Pm-3m (No. 221)
Inequivalent atoms, fractional coordinates:
Rh 0.0000 0.0000 0.0000 (multiplicity 1)
S 0.0000 0.0000 0.5000 (multiplicity 3)
Cl 0.5000 0.5000 0.5000 (multiplicity 1)

---

A plane-wave DFT calculation with PBE-GGA was carried out for crystalline RhS3Cl at its relaxed geometry.

Summary:
Crystal system   cubic
Total energy   -0.1049 hartree per atom
Distance to the lowest polymorph of the same formula   0.8430 eV per atom
Size of the total moment   2.49 Bohr magnetons per cell
Uncorrected formation energy   1.46 eV/atom

Lattice parameters (Å, degrees): 4.5811 4.5811 4.5811 90.00 90.00 90.00
Space group Pm-3m (No. 221)
Inequivalent atoms, fractional coordinates:
Rh 0.0000 0.0000 0.0000 (multiplicity 1)
S 0.0000 0.5000 0.5000 (multiplicity 3)
Cl 0.5000 0.5000 0.5000 (multiplicity 1)

---

A plane-wave DFT calculation with PBE-GGA was carried out for crystalline ScRhSCl2 at its relaxed geometry.

Summary:
Crystal system   tetragonal
Total energy   -0.1720 hartree per atom
Distance to the lowest polymorph of the same formula   0.1357 eV per atom
Size of the total moment   0.56 Bohr magnetons per cell
Uncorrected formation energy   -0.38 eV/atom

Lattice parameters (Å, degrees): 4.6762 4.6762 4.8090 90.00 90.00 90.00
Space group P4/mmm (No. 123)
Inequivalent atoms, fractional coordinates:
Sc 0.0000 0.0000 0.0000 (multiplicity 1)
Rh 0.5000 0.5000 0.5000 (multiplicity 1)
S 0.5000 0.5000 0.0000 (multiplicity 1)
Cl 0.0000 0.5000 0.5000 (multiplicity 2)

---

A plane-wave DFT calculation with PBE-GGA was carried out for crystalline ScRhSCl2 at its relaxed geometry.

Summary:
Crystal system   tetragonal
Total energy   -0.1770 hartree per atom
Distance to the lowest polymorph of the same formula   0.0000 eV per atom
Size of the total moment   2.00 Bohr magnetons per cell
Uncorrected formation energy   -0.52 eV/atom

Lattice parameters (Å, degrees): 4.8858 4.8858 5.0617 90.00 90.00 90.00
Space group P4/mmm (No. 123)
Inequivalent atoms, fractional coordinates:
Sc 0.0000 0.0000 0.0000 (multiplicity 1)
Rh 0.5000 0.5000 0.5000 (multiplicity 1)
S 0.0000 0.0000 0.5000 (multiplicity 1)
Cl 0.0000 0.5000 0.0000 (multiplicity 2)

---

A plane-wave DFT calculation with PBE-GGA was carried out for crystalline SiRhS2Cl at its relaxed geometry.

Summary:
Crystal system   tetragonal
Total energy   -0.1222 hartree per atom
Distance to the lowest polymorph of the same formula   0.8247 eV per atom
Size of the total moment   0.00 Bohr magnetons per cell
Uncorrected formation energy   1.25 eV/atom

Lattice parameters (Å, degrees): 4.8433 4.8433 4.3287 90.00 90.00 90.00
Space group P4/mmm (No. 123)
Inequivalent atoms, fractional coordinates:
Si 0.0000 0.0000 0.0000 (multiplicity 1)
Rh 0.5000 0.5000 0.0000 (multiplicity 1)
S 0.0000 0.5000 0.5000 (multiplicity 2)
Cl 0.5000 0.5000 0.5000 (multiplicity 1)

---

A plane-wave DFT calculation with PBE-GGA was carried out for crystalline SiRhS2Cl at its relaxed geometry.

Summary:
Crystal system   tetragonal
Total energy   -0.1525 hartree per atom
Distance to the lowest polymorph of the same formula   0.0000 eV per atom
Size of the total moment   0.00 Bohr magnetons per cell
Uncorrected formation energy   0.42 eV/atom

Lattice parameters (Å, degrees): 4.6687 4.6687 4.6712 90.00 90.00 90.00
Space group P4/mmm (No. 123)
Inequivalent atoms, fractional coordinates:
Si 0.0000 0.0000 0.0000 (multiplicity 1)
Rh 0.5000 0.5000 0.5000 (multiplicity 1)
S 0.0000 0.5000 0.5000 (multiplicity 2)
Cl 0.5000 0.5000 0.0000 (multiplicity 1)

---

A plane-wave DFT calculation with PBE-GGA was carried out for crystalline Sm4RhS2Cl at its relaxed geometry.

Summary:
Crystal system   monoclinic
Total energy   -0.2227 hartree per atom
Size of the total moment   0.00 Bohr magnetons per cell
Uncorrected formation energy   -1.52 eV/atom

Lattice parameters (Å, degrees): 7.0752 3.9471 7.1652 90.00 108.46 90.00
Space group P2/m (No. 10)
Inequivalent atoms, fractional coordinates:
Sm 0.2339 0.0000 0.2345 (multiplicity 2)
Sm 0.2360 0.5000 0.7480 (multiplicity 2)
Rh 0.0000 0.0000 0.5000 (multiplicity 1)
S 0.0000 0.5000 0.0000 (multiplicity 1)
S 0.5000 0.0000 0.0000 (multiplicity 1)
Cl 0.5000 0.5000 0.5000 (multiplicity 1)